[1]
Compound: Dy4Ho8Mg
Source: Alexandria
Functional: PBE
Structure: relaxed

Structure (POSCAR):
```
Dy4Ho8Mg
1.0
-5.781 -1.185 -3.937
6.008 2.171 -3.085
4.504 -8.950 2.472
Dy Ho Mg
4 8 1
Direct
0.000 0.000 0.000
0.000 0.500 0.000
0.500 0.500 0.000
0.500 0.000 0.000
0.576 0.788 0.364
0.424 0.212 0.636
0.508 0.254 0.291
0.963 0.217 0.709
0.492 0.746 0.709
0.963 0.746 0.709
0.037 0.254 0.291
0.037 0.783 0.291
0.000 0.500 0.500
```

size of the total moment = 0.006 μB per formula unit
density of states at the Fermi level = 1.299 states/eV per atom
total DFT energy (no corrections) = -4.159 eV per atom
calculated volume = 31.758 A^3/atom

***

[2]
Compound: Dy4Ho7Mg
Source: Alexandria
Functional: PBE
Structure: relaxed

Structure (POSCAR):
```
Dy4Ho7Mg
1.0
5.556 0.000 0.000
-2.778 4.812 0.000
0.000 0.000 13.818
Dy Ho Mg
4 7 1
Direct
0.667 0.333 0.072
0.333 0.667 0.928
0.667 0.333 0.317
0.333 0.667 0.683
0.000 0.000 0.000
0.667 0.333 0.576
0.333 0.667 0.424
0.667 0.333 0.826
0.333 0.667 0.174
0.000 0.000 0.266
0.000 0.000 0.734
0.000 0.000 0.500
```

size of the total moment = 0.000 μB per formula unit
density of states at the Fermi level = 2.084 states/eV per atom
energy above the lowest structure with this stoichiometry = 0 meV/atom
total DFT energy (no corrections) = -4.240 eV per atom
calculated volume = 30.783 A^3/atom

***

[3]
Compound: Dy3Ho4Mg
Source: Alexandria
Functional: PBE
Structure: relaxed

Structure (POSCAR):
```
Dy3Ho4Mg
1.0
-3.140 1.180 0.349
-0.212 -2.165 5.410
6.203 10.748 3.187
Mg Ho Dy
1 4 3
Direct
0.500 0.000 0.000
0.718 0.237 0.436
0.282 0.763 0.564
0.102 0.196 0.204
0.898 0.804 0.796
0.000 0.500 0.000
0.150 0.715 0.300
0.850 0.285 0.700
```

size of the total moment = 0.000 μB per formula unit
density of states at the Fermi level = 1.438 states/eV per atom
energy above the lowest structure with this stoichiometry = 221 meV/atom
total DFT energy (no corrections) = -3.991 eV per atom
calculated volume = 31.066 A^3/atom

***

[4]
Compound: Dy2HoMg6
Source: Alexandria
Functional: PBE
Structure: relaxed

Structure (POSCAR):
```
Dy2HoMg6
1.0
-2.088 -2.019 -1.522
6.527 -6.242 -0.676
1.116 -6.118 6.584
Dy Ho Mg
2 1 6
Direct
0.000 0.333 0.333
0.000 0.667 0.667
0.000 0.000 0.000
0.499 0.667 0.000
0.501 0.000 0.333
0.501 0.333 0.000
0.500 0.667 0.333
0.499 0.000 0.667
0.500 0.333 0.667
```

size of the total moment = 0.000 μB per formula unit
density of states at the Fermi level = 0.483 states/eV per atom
energy above the lowest structure with this stoichiometry = 0 meV/atom
total DFT energy (no corrections) = -2.663 eV per atom
calculated volume = 25.885 A^3/atom

***

[5]
Compound: DyHo7Mg4
Source: Alexandria
Functional: PBE
Structure: relaxed

Structure (POSCAR):
```
DyHo7Mg4
1.0
5.714 0.000 0.000
2.857 8.470 1.148
2.857 1.152 7.412
Dy Ho Mg
1 7 4
Direct
0.000 0.000 0.000
0.797 0.878 0.528
0.203 0.122 0.472
0.080 0.575 0.266
0.920 0.425 0.734
0.251 0.712 0.787
0.500 0.000 0.000
0.749 0.288 0.213
0.542 0.302 0.614
0.458 0.698 0.386
0.675 0.654 0.996
0.325 0.346 0.004
```

size of the total moment = 0.264 μB per formula unit
density of states at the Fermi level = 1.303 states/eV per atom
total DFT energy (no corrections) = -3.404 eV per atom
calculated volume = 29.262 A^3/atom

***

[6]
Compound: DyHo14Mg
Source: Alexandria
Functional: PBE
Structure: relaxed

Structure (POSCAR):
```
DyHo14Mg
1.0
6.941 0.988 0.000
-0.988 6.941 0.000
0.000 0.000 9.934
Dy Ho Mg
1 14 1
Direct
0.625 0.375 0.500
0.125 0.875 0.000
0.625 0.375 0.000
0.125 0.375 0.500
0.125 0.375 0.000
0.625 0.875 0.500
0.625 0.875 0.000
0.376 0.126 0.750
0.376 0.126 0.250
0.874 0.624 0.750
0.874 0.624 0.250
0.376 0.624 0.750
0.376 0.624 0.250
0.874 0.126 0.750
0.874 0.126 0.250
0.125 0.875 0.500
```

size of the total moment = 0.000 μB per formula unit
density of states at the Fermi level = 1.251 states/eV per atom
total DFT energy (no corrections) = -4.370 eV per atom
calculated volume = 30.518 A^3/atom

***

[7]
Compound: DyHoMg14
Source: Alexandria
Functional: PBE
Structure: relaxed

Structure (POSCAR):
```
DyHoMg14
1.0
-6.258 0.311 -2.929
0.127 -6.843 -1.001
-3.399 -1.108 7.144
Dy Ho Mg
1 1 14
Direct
0.375 0.375 0.500
0.875 0.875 0.500
0.875 0.875 0.000
0.375 0.375 0.000
0.875 0.375 0.500
0.875 0.375 0.000
0.375 0.875 0.500
0.375 0.875 0.000
0.625 0.125 0.239
0.625 0.125 0.761
0.125 0.625 0.239
0.125 0.625 0.761
0.625 0.625 0.239
0.625 0.625 0.761
0.125 0.125 0.239
0.125 0.125 0.761
```

size of the total moment = 0.000 μB per formula unit
density of states at the Fermi level = 0.416 states/eV per atom
total DFT energy (no corrections) = -1.996 eV per atom
calculated volume = 23.890 A^3/atom

***

[8]
Compound: Dy12Ho7Mg
Source: Alexandria
Functional: PBE
Structure: relaxed

Structure (POSCAR):
```
Dy12Ho7Mg
1.0
-4.911 -9.090 -0.366
-1.733 5.209 -8.760
10.152 -1.610 1.100
Dy Ho Mg
12 7 1
Direct
0.383 0.644 0.739
0.904 0.644 0.261
0.617 0.356 0.261
0.096 0.356 0.739
0.739 0.096 0.356
0.739 0.383 0.644
0.261 0.904 0.644
0.261 0.617 0.356
0.644 0.739 0.383
0.356 0.261 0.617
0.644 0.261 0.904
0.356 0.739 0.096
0.500 0.500 0.000
0.000 0.500 0.500
0.500 0.000 0.500
0.500 0.500 0.500
0.000 0.000 0.500
0.500 0.000 0.000
0.000 0.500 0.000
0.000 0.000 0.000
```

size of the total moment = 0.000 μB per formula unit
density of states at the Fermi level = 1.650 states/eV per atom
energy above the lowest structure with this stoichiometry = 617 meV/atom
total DFT energy (no corrections) = -3.610 eV per atom
calculated volume = 42.527 A^3/atom

***

[9]
Compound: Dy4HoMg
Source: Alexandria
Functional: PBE
Structure: relaxed

Structure (POSCAR):
```
Dy4HoMg
1.0
5.962 0.469 -1.022
2.459 5.452 -1.022
-1.009 -0.709 11.724
Dy Ho Mg
8 2 2
Direct
0.252 0.414 0.750
0.164 0.672 0.500
0.836 0.328 0.500
0.414 0.252 0.250
0.586 0.748 0.750
0.328 0.836 0.000
0.672 0.164 0.000
0.748 0.586 0.250
0.500 0.000 0.500
0.000 0.500 0.000
0.082 0.918 0.250
0.918 0.082 0.750
```

size of the total moment = 0.000 μB per formula unit
density of states at the Fermi level = 1.456 states/eV per atom
energy above the lowest structure with this stoichiometry = 36 meV/atom
total DFT energy (no corrections) = -4.073 eV per atom
calculated volume = 29.990 A^3/atom

***

[10]
Compound: Dy2Ho3Mg3
Source: Alexandria
Functional: PBE
Structure: relaxed

Structure (POSCAR):
```
Dy2Ho3Mg3
1.0
-1.854 -3.239 -0.256
4.681 -2.631 -0.617
-0.684 1.644 11.484
Dy Ho Mg
2 3 3
Direct
0.735 0.235 0.470
0.265 0.765 0.530
0.625 0.625 0.250
0.375 0.375 0.750
0.500 0.000 0.000
0.116 0.116 0.232
0.000 0.500 0.000
0.884 0.884 0.768
```

size of the total moment = 0.000 μB per formula unit
density of states at the Fermi level = 1.213 states/eV per atom
total DFT energy (no corrections) = -3.518 eV per atom
calculated volume = 28.174 A^3/atom

***

[11]
Compound: DyHo5Mg3
Source: Alexandria
Functional: PBE
Structure: relaxed

Structure (POSCAR):
```
DyHo5Mg3
1.0
-3.154 -5.928 -2.797
3.594 -5.409 3.278
-7.617 -2.917 8.710
Dy Ho Mg
2 10 6
Direct
0.119 0.119 0.735
0.881 0.881 0.265
0.993 0.358 0.205
0.308 0.692 0.000
0.724 0.724 0.068
0.586 0.586 0.369
0.414 0.414 0.631
0.276 0.276 0.932
0.358 0.993 0.205
0.692 0.308 0.000
0.007 0.642 0.795
0.642 0.007 0.795
0.581 0.581 0.787
0.738 0.738 0.560
0.000 0.000 0.000
0.000 0.000 0.500
0.419 0.419 0.213
0.262 0.262 0.440
```

size of the total moment = 0.000 μB per formula unit
density of states at the Fermi level = 1.220 states/eV per atom
total DFT energy (no corrections) = -3.211 eV per atom
calculated volume = 33.146 A^3/atom

***

[12]
Compound: Dy7Ho4Mg
Source: Alexandria
Functional: PBE
Structure: relaxed

Structure (POSCAR):
```
Dy7Ho4Mg
1.0
-5.191 -2.700 -2.418
-2.156 -4.848 -6.535
0.102 -11.585 2.384
Dy Ho Mg
7 4 1
Direct
0.745 0.546 0.908
0.255 0.454 0.092
0.142 0.136 0.729
0.858 0.864 0.271
0.352 0.790 0.420
0.500 0.000 0.000
0.648 0.210 0.580
0.723 0.383 0.234
0.277 0.617 0.766
0.821 0.709 0.583
0.179 0.291 0.417
0.000 0.000 0.000
```

size of the total moment = 0.000 μB per formula unit
density of states at the Fermi level = 1.516 states/eV per atom
energy above the lowest structure with this stoichiometry = 21 meV/atom
total DFT energy (no corrections) = -4.227 eV per atom
calculated volume = 31.611 A^3/atom

***

[13]
Compound: Dy2HoMg4
Source: Alexandria
Functional: PBE
Structure: relaxed

Structure (POSCAR):
```
Dy2HoMg4
1.0
5.409 0.000 0.000
0.000 5.963 0.000
0.000 -2.981 6.523
Dy Ho Mg
2 1 4
Direct
0.500 0.132 0.264
0.500 0.868 0.736
0.000 0.500 0.000
0.500 0.618 0.236
0.000 0.740 0.480
0.500 0.382 0.764
0.000 0.260 0.520
```

size of the total moment = 0.000 μB per formula unit
density of states at the Fermi level = 0.798 states/eV per atom
energy above the lowest structure with this stoichiometry = 249 meV/atom
total DFT energy (no corrections) = -2.489 eV per atom
calculated volume = 30.056 A^3/atom

***

[14]
Compound: Dy4Ho3Mg
Source: Alexandria
Functional: PBE
Structure: relaxed

Structure (POSCAR):
```
Dy4Ho3Mg
1.0
6.171 0.000 0.000
0.000 7.061 0.000
0.000 0.000 11.189
Dy Ho Mg
8 6 2
Direct
0.161 0.876 0.000
0.641 0.126 0.000
0.987 0.128 0.245
0.487 0.872 0.255
0.141 0.874 0.500
0.661 0.124 0.500
0.487 0.872 0.745
0.987 0.128 0.755
0.638 0.628 0.000
0.977 0.622 0.245
0.477 0.378 0.255
0.138 0.372 0.500
0.477 0.378 0.745
0.977 0.622 0.755
0.148 0.379 0.000
0.648 0.621 0.500
```

size of the total moment = 0.000 μB per formula unit
density of states at the Fermi level = 1.397 states/eV per atom
energy above the lowest structure with this stoichiometry = 0 meV/atom
total DFT energy (no corrections) = -4.213 eV per atom
calculated volume = 30.471 A^3/atom

***

[15]
Compound: Dy3Ho3Mg2
Source: Alexandria
Functional: PBE
Structure: relaxed

Structure (POSCAR):
```
Dy3Ho3Mg2
1.0
-3.174 -4.126 -0.918
1.649 0.757 6.118
-12.455 9.085 2.234
Dy Ho Mg
6 6 4
Direct
0.645 0.291 0.468
0.355 0.709 0.968
0.645 0.291 0.032
0.355 0.709 0.532
0.469 0.938 0.250
0.531 0.062 0.750
0.953 0.906 0.399
0.047 0.094 0.899
0.953 0.906 0.101
0.047 0.094 0.601
0.749 0.499 0.250
0.251 0.501 0.750
0.781 0.562 0.853
0.219 0.438 0.353
0.781 0.562 0.647
0.219 0.438 0.147
```

size of the total moment = 0.000 μB per formula unit
density of states at the Fermi level = 1.610 states/eV per atom
total DFT energy (no corrections) = -3.759 eV per atom
calculated volume = 29.891 A^3/atom

***

[16]
Compound: Dy12Ho2Mg
Source: Alexandria
Functional: PBE
Structure: relaxed

Structure (POSCAR):
```
Dy12Ho2Mg
1.0
6.444 1.521 -0.280
1.521 6.444 0.280
-1.329 1.329 24.135
Dy Ho Mg
24 4 2
Direct
0.630 0.435 0.805
0.065 0.870 0.805
0.770 0.730 0.892
0.349 0.604 0.934
0.036 0.980 0.326
0.151 0.896 0.066
0.667 0.354 0.556
0.520 0.464 0.326
0.251 0.249 0.848
0.730 0.770 0.108
0.177 0.323 0.580
0.833 0.146 0.444
0.980 0.036 0.674
0.323 0.177 0.420
0.249 0.251 0.152
0.848 0.652 0.429
0.652 0.848 0.571
0.870 0.065 0.195
0.146 0.833 0.556
0.464 0.520 0.674
0.896 0.151 0.934
0.435 0.630 0.195
0.354 0.667 0.444
0.604 0.349 0.066
0.513 0.987 0.288
0.987 0.513 0.267
0.987 0.513 0.712
0.513 0.987 0.733
0.458 0.042 0.983
0.042 0.458 0.017
```

size of the total moment = 0.000 μB per formula unit
density of states at the Fermi level = 1.288 states/eV per atom
total DFT energy (no corrections) = -4.294 eV per atom
calculated volume = 31.345 A^3/atom

***

[17]
Compound: Dy5Ho2Mg
Source: Alexandria
Functional: PBE
Structure: relaxed

Structure (POSCAR):
```
Dy5Ho2Mg
1.0
-2.302 3.111 5.840
-0.590 -6.261 3.088
6.087 1.944 -2.832
Dy Ho Mg
5 2 1
Direct
0.722 0.222 0.944
0.222 0.222 0.944
0.722 0.722 0.944
0.222 0.722 0.944
0.722 0.722 0.444
0.222 0.722 0.444
0.722 0.222 0.444
0.222 0.222 0.444
```

size of the total moment = 0.000 μB per formula unit
density of states at the Fermi level = 0.978 states/eV per atom
energy above the lowest structure with this stoichiometry = 5 meV/atom
total DFT energy (no corrections) = -4.200 eV per atom
calculated volume = 30.266 A^3/atom

***

[18]
Compound: Dy4Ho5Mg
Source: Alexandria
Functional: PBE
Structure: relaxed

Structure (POSCAR):
```
Dy4Ho5Mg
1.0
-4.388 -3.032 -1.991
-2.556 -5.231 5.462
-6.932 3.587 1.675
Dy Ho Mg
4 5 1
Direct
0.461 0.321 0.679
0.782 0.679 0.679
0.140 0.321 0.321
0.461 0.679 0.321
0.766 0.372 0.000
0.137 0.000 0.628
0.766 0.000 0.372
0.137 0.628 0.000
0.670 0.000 0.000
0.191 0.000 0.000
```

size of the total moment = 0.000 μB per formula unit
density of states at the Fermi level = 1.163 states/eV per atom
energy above the lowest structure with this stoichiometry = 210 meV/atom
total DFT energy (no corrections) = -4.079 eV per atom
calculated volume = 31.668 A^3/atom

***

[19]
Compound: Dy5HoMg4
Source: Alexandria
Functional: PBE
Structure: relaxed

Structure (POSCAR):
```
Dy5HoMg4
1.0
3.722 0.000 0.000
0.000 3.722 0.000
0.000 0.000 20.234
Dy Ho Mg
5 1 4
Direct
0.500 0.500 0.117
0.500 0.500 0.310
0.500 0.500 0.500
0.500 0.500 0.690
0.500 0.500 0.883
0.000 0.000 0.000
0.000 0.000 0.214
0.000 0.000 0.405
0.000 0.000 0.595
0.000 0.000 0.786
```

size of the total moment = 0.000 μB per formula unit
density of states at the Fermi level = 1.369 states/eV per atom
total DFT energy (no corrections) = -3.449 eV per atom
calculated volume = 28.032 A^3/atom

***

What are the calculated formation energy values for these records? In order: 0.20, 0.10, 0.22, -0.07, 0.18, 0.02, -0.03, 0.83, 0.02, -0.05, 0.37, 0.12, 0.39, 0.00, 0.08, 0.10, 0.02, 0.21, -0.05 eV per atom.